This record from Alexandria via LeMat-Bulk describes a relaxed structure of Sm2Fe2O5. The functional is PBE+U.

Geometry as POSCAR:
```
Sm2Fe2O5
1.0
-7.6476 -1.6917 3.7426
-2.9064 -7.9302 2.0065
6.8521 5.2713 0.7874
O Fe Sm
10 4 4
Direct
0.2931 0.2737 0.5035
0.7069 0.2104 0.9806
0.2702 0.7737 0.9805
0.7298 0.7104 0.5035
0.9683 0.9296 0.1788
0.0317 0.2105 0.9613
0.2508 0.4296 0.9613
0.7492 0.7105 0.1788
0.6340 0.3393 0.4733
0.3660 0.8393 0.7053
0.0000 0.0051 0.0051
0.5000 0.5051 0.0051
0.7173 0.7247 0.9420
0.2827 0.2247 0.0073
0.8978 0.3718 0.4968
0.1022 0.5990 0.4740
0.3750 0.8718 0.4740
0.6250 0.0990 0.4967
```

Results
size of the total moment = 0.889 μB/atom
E_tot = -0.27438 hartree per atom